Record 1
First-principles (PBE) data for a relaxed structure of BeCd2Si, as listed in Alexandria via LeMat-Bulk.

Summary:
N(E_F): 0.317 states/eV per atom
formation energy from raw total energies: 2.13 eV per formula unit

abc: 3.0836 3.0836 9.4594
angles: 90.00 90.00 126.04
Fractional positions:
Be1 0.0000 0.0000 0.0000
Cd1 0.5000 0.5000 0.2268
Cd2 0.5000 0.5000 0.7732
Si1 0.0000 0.0000 0.5000


Record 2
First-principles (PBE) data for a relaxed structure of CaCd2Pt, as listed in Alexandria via LeMat-Bulk.

Summary:
formation energy from the elements: -0.42 eV/atom
N(E_F): 0.560 states/eV per atom

abc: 4.9299 4.9299 4.9486
angles: 119.88 119.88 89.92
Fractional positions:
Ca1 0.0000 0.0000 0.0000
Cd1 0.4997 0.5003 0.0000
Cd2 0.7493 0.2507 0.5000
Pt1 0.2512 0.7488 0.5000


Record 3
First-principles (PBE) data for a relaxed structure of AlVAu, as listed in Alexandria via LeMat-Bulk.

Summary:
formation energy from the elements: -0.11 eV/atom
N(E_F): 1.307 states/eV per atom

abc: 4.3904 4.3904 2.9046
angles: 90.00 90.00 120.00
Fractional positions:
Al1 0.0000 0.0000 0.0000
V1 0.6667 0.3333 0.5000
Au1 0.3333 0.6667 0.0000


Record 4
First-principles (PBE) data for a relaxed structure of KAgMoCl6, as listed in Alexandria via LeMat-Bulk.

Summary:
N(E_F): 0.901 states/eV per atom
formation energy from raw total energies: -9.15 eV per formula unit

abc: 6.8910 6.8910 13.1878
angles: 90.00 90.00 120.00
Fractional positions:
K1 0.0000 0.0000 0.0000
K2 0.0000 0.0000 0.5000
Ag1 0.3333 0.6667 0.2500
Ag2 0.6667 0.3333 0.7500
Mo1 0.3333 0.6667 0.7500
Mo2 0.6667 0.3333 0.2500
Cl1 0.0401 0.3901 0.6450
Cl2 0.0401 0.6500 0.8550
Cl3 0.3500 0.3901 0.8550
Cl4 0.3500 0.9599 0.6450
Cl5 0.3901 0.0401 0.1450
Cl6 0.3901 0.3500 0.3550
Cl7 0.6099 0.6500 0.6450
Cl8 0.6099 0.9599 0.8550
Cl9 0.6500 0.0401 0.3550
Cl10 0.6500 0.6099 0.1450
Cl11 0.9599 0.3500 0.1450
Cl12 0.9599 0.6099 0.3550


Record 5
First-principles (PBE) data for a relaxed structure of RuRhAu2, as listed in Alexandria via LeMat-Bulk.

Summary:
formation energy from the elements: 0.38 eV/atom
N(E_F): 1.211 states/eV per atom

abc: 4.9891 4.9891 2.7939
angles: 90.00 90.00 112.43
Fractional positions:
Ru1 0.0000 0.0000 0.0000
Rh1 0.5000 0.5000 0.0000
Au1 0.0000 0.5000 0.5000
Au2 0.5000 0.0000 0.5000


Record 6
First-principles (PBE) data for a relaxed structure of CeUOs, as listed in Alexandria via LeMat-Bulk.

Summary:
formation energy from the elements: -0.11 eV/atom
N(E_F): 1.975 states/eV per atom

abc: 8.1084 8.1084 8.1084
angles: 32.10 32.10 32.10
Fractional positions:
Ce1 0.2006 0.2006 0.2006
Ce2 0.7994 0.7994 0.7994
U1 0.3523 0.3523 0.3523
U2 0.6477 0.6477 0.6477
Os1 0.0625 0.0625 0.0625
Os2 0.9375 0.9375 0.9375


Record 7
First-principles (PBE) data for a relaxed structure of Pr9Tc2I14, as listed in Alexandria via LeMat-Bulk.

Summary:
N(E_F): 0.696 states/eV per atom
formation energy from raw total energies: -22.56 eV per formula unit

abc: 9.4152 9.4152 12.8315
angles: 90.00 90.00 120.00
Fractional positions:
Pr1 0.0000 0.0000 0.0000
Pr2 0.0982 0.3853 0.3369
Pr3 0.2871 0.9018 0.3369
Pr4 0.3333 0.6667 0.0621
Pr5 0.3853 0.2871 0.6631
Pr6 0.6147 0.7129 0.3369
Pr7 0.6667 0.3333 0.9379
Pr8 0.7129 0.0982 0.6631
Pr9 0.9018 0.6147 0.6631
Tc1 0.3333 0.6667 0.2686
Tc2 0.6667 0.3333 0.7314
I1 0.0000 0.0000 0.2587
I2 0.0000 0.0000 0.7413
I3 0.0491 0.6855 0.9071
I4 0.0887 0.4009 0.5973
I5 0.3122 0.9113 0.5973
I6 0.3145 0.3636 0.9071
I7 0.3636 0.0491 0.0929
I8 0.4009 0.3122 0.4027
I9 0.5991 0.6878 0.5973
I10 0.6364 0.9509 0.9071
I11 0.6855 0.6364 0.0929
I12 0.6878 0.0887 0.4027
I13 0.9113 0.5991 0.4027
I14 0.9509 0.3145 0.0929


Record 8
First-principles (PBE) data for a relaxed structure of CdRh3, as listed in Alexandria via LeMat-Bulk.

Summary:
formation energy from the elements: 0.04 eV/atom
N(E_F): 1.162 states/eV per atom

abc: 4.8828 9.1032 5.5671
angles: 90.00 90.00 90.00
Fractional positions:
Cd1 0.0700 0.2500 0.1270
Cd2 0.4300 0.7500 0.6270
Cd3 0.5700 0.2500 0.3730
Cd4 0.9300 0.7500 0.8730
Rh1 0.0834 0.2500 0.6367
Rh2 0.2322 0.5070 0.3748
Rh3 0.2322 0.9930 0.3748
Rh4 0.2678 0.0070 0.8748
Rh5 0.2678 0.4930 0.8748
Rh6 0.4166 0.7500 0.1367
Rh7 0.5834 0.2500 0.8633
Rh8 0.7322 0.5070 0.1252
Rh9 0.7322 0.9930 0.1252
Rh10 0.7678 0.0070 0.6252
Rh11 0.7678 0.4930 0.6252
Rh12 0.9166 0.7500 0.3633


Record 9
First-principles (PBE) data for a relaxed structure of PrHg4, as listed in Alexandria via LeMat-Bulk.

Summary:
formation energy from the elements: 0.30 eV/atom
N(E_F): 1.317 states/eV per atom

abc: 6.2174 6.2174 6.2174
angles: 90.00 90.00 90.00
Fractional positions:
Pr1 0.0000 0.0000 0.0000
Hg1 0.0000 0.0000 0.5000
Hg2 0.0000 0.5000 0.0000
Hg3 0.5000 0.0000 0.0000
Hg4 0.5000 0.5000 0.5000


Record 10
First-principles (PBE) data for a relaxed structure of Y6SbO12, as listed in Alexandria via LeMat-Bulk.

Summary:
N(E_F): 0.397 states/eV per atom
formation energy from raw total energies: -58.84 eV per formula unit

abc: 6.5134 6.5134 6.5134
angles: 98.85 98.85 98.85
Fractional positions:
Y1 0.1093 0.6396 0.8019
Y2 0.1981 0.8907 0.3604
Y3 0.3604 0.1981 0.8907
Y4 0.6396 0.8019 0.1093
Y5 0.8019 0.1093 0.6396
Y6 0.8907 0.3604 0.1981
Sb1 0.5000 0.5000 0.5000
O1 0.0631 0.3222 0.9119
O2 0.0881 0.9369 0.6778
O3 0.1961 0.5414 0.4312
O4 0.3222 0.9119 0.0631
O5 0.4312 0.1961 0.5414
O6 0.4586 0.5688 0.8039
O7 0.5414 0.4312 0.1961
O8 0.5688 0.8039 0.4586
O9 0.6778 0.0881 0.9369
O10 0.8039 0.4586 0.5688
O11 0.9119 0.0631 0.3222
O12 0.9369 0.6778 0.0881


Record 11
First-principles (PBE) data for a relaxed structure of K2Te2Ir, as listed in Alexandria via LeMat-Bulk.

Summary:
N(E_F): 0.541 states/eV per atom
formation energy from raw total energies: 2.25 eV per formula unit

abc: 10.2522 10.2522 10.2522
angles: 155.42 155.42 35.04
Fractional positions:
K1 0.0951 0.0951 0.0000
K2 0.9049 0.9049 0.0000
Te1 0.2500 0.7500 0.5000
Te2 0.7500 0.2500 0.5000
Ir1 0.5000 0.5000 0.0000


Record 12
First-principles (PBE) data for a relaxed structure of K3CdRu2O8, as listed in Alexandria via LeMat-Bulk.

Summary:
N(E_F): 0.502 states/eV per atom
formation energy from raw total energies: -16.01 eV per formula unit

abc: 5.9948 5.9948 7.8158
angles: 90.00 90.00 120.00
Fractional positions:
K1 0.0000 0.0000 0.0000
K2 0.3333 0.6667 0.6568
K3 0.6667 0.3333 0.3432
Cd1 0.0000 0.0000 0.5000
Ru1 0.3333 0.6667 0.2160
Ru2 0.6667 0.3333 0.7840
O1 0.1712 0.3424 0.3114
O2 0.1712 0.8288 0.3114
O3 0.3333 0.6667 0.9905
O4 0.3424 0.1712 0.6886
O5 0.6576 0.8288 0.3114
O6 0.6667 0.3333 0.0095
O7 0.8288 0.1712 0.6886
O8 0.8288 0.6576 0.6886


Record 13
First-principles (PBE) data for a relaxed structure of Sm3YTe6, as listed in Alexandria via LeMat-Bulk.

Summary:
formation energy from raw total energies: -13.79 eV per formula unit

abc: 8.4266 8.4266 8.4266
angles: 55.31 55.31 55.31
Fractional positions:
Sm1 0.0000 0.0000 0.0000
Sm2 0.1884 0.1884 0.1884
Sm3 0.6894 0.6894 0.6894
Y1 0.5011 0.5011 0.5011
Te1 0.1017 0.4038 0.7767
Te2 0.2830 0.9007 0.5957
Te3 0.4038 0.7767 0.1017
Te4 0.5957 0.2830 0.9007
Te5 0.7767 0.1017 0.4038
Te6 0.9007 0.5957 0.2830


Record 14
First-principles (PBE) data for a relaxed structure of LaBeH2Rh, as listed in Alexandria via LeMat-Bulk.

Summary:
N(E_F): 0.226 states/eV per atom

abc: 3.8936 3.8936 5.7788
angles: 90.00 90.00 90.00
Fractional positions:
La1 0.0000 0.0000 0.0000
Be1 0.0000 0.0000 0.5000
H1 0.0000 0.5000 0.0000
H2 0.5000 0.0000 0.0000
Rh1 0.5000 0.5000 0.5000


Record 15
First-principles (PBE) data for a relaxed structure of Ba2NbCrP, as listed in Alexandria via LeMat-Bulk.

Summary:
formation energy from the elements: 0.67 eV/atom
N(E_F): 0.963 states/eV per atom

abc: 6.1644 6.1644 4.7812
angles: 90.00 90.00 90.00
Fractional positions:
Ba1 0.0000 0.5000 0.0000
Ba2 0.5000 0.0000 0.0000
Nb1 0.0000 0.0000 0.0000
Cr1 0.5000 0.5000 0.5000
P1 0.0000 0.0000 0.5000


Record 16
First-principles (PBE) data for a relaxed structure of Sm3Tm4Cd, as listed in Alexandria via LeMat-Bulk.

Summary:
formation energy from the elements: -0.06 eV/atom
N(E_F): 1.182 states/eV per atom

abc: 3.5607 3.5607 19.0836
angles: 90.00 90.00 90.00
Fractional positions:
Sm1 0.0000 0.0000 0.0000
Sm2 0.0000 0.0000 0.2630
Sm3 0.0000 0.0000 0.7370
Tm1 0.5000 0.5000 0.1317
Tm2 0.5000 0.5000 0.3937
Tm3 0.5000 0.5000 0.6063
Tm4 0.5000 0.5000 0.8683
Cd1 0.0000 0.0000 0.5000


Record 17
First-principles (PBE) data for a relaxed structure of YAlZn4Cu2, as listed in Alexandria via LeMat-Bulk.

Summary:
formation energy from the elements: -0.14 eV/atom
N(E_F): 0.406 states/eV per atom

abc: 9.0715 9.0715 9.0715
angles: 26.72 26.72 26.72
Fractional positions:
Y1 0.0000 0.0000 0.0000
Al1 0.5000 0.5000 0.5000
Zn1 0.1225 0.1225 0.1225
Zn2 0.3996 0.3996 0.3996
Zn3 0.6004 0.6004 0.6004
Zn4 0.8775 0.8775 0.8775
Cu1 0.2374 0.2374 0.2374
Cu2 0.7626 0.7626 0.7626


Record 18
First-principles (PBE) data for a relaxed structure of La3Ho8Tm, as listed in Alexandria via LeMat-Bulk.

Summary:
formation energy from the elements: 0.61 eV/atom
N(E_F): 1.528 states/eV per atom

abc: 8.4111 8.4111 8.4111
angles: 116.78 116.78 95.67
Fractional positions:
La1 0.0000 0.0000 0.0000
La2 0.2500 0.7500 0.5000
La3 0.7500 0.2500 0.5000
Ho1 0.1324 0.3808 0.0000
Ho2 0.2430 0.2430 0.5167
Ho3 0.2736 0.7570 0.0000
Ho4 0.3808 0.1324 0.0000
Ho5 0.6192 0.6192 0.7517
Ho6 0.7264 0.7264 0.4833
Ho7 0.7570 0.2736 0.0000
Ho8 0.8676 0.8676 0.2483
Tm1 0.5000 0.5000 0.0000


Record 19
First-principles (PBE) data for a relaxed structure of NaAu4, as listed in Alexandria via LeMat-Bulk.

Summary:
formation energy from the elements: 0.93 eV/atom
N(E_F): 0.537 states/eV per atom

abc: 4.8632 4.8632 4.8632
angles: 90.00 90.00 90.00
Fractional positions:
Na1 0.0000 0.0000 0.0000
Au1 0.0000 0.0000 0.5000
Au2 0.0000 0.5000 0.0000
Au3 0.5000 0.0000 0.0000
Au4 0.5000 0.5000 0.5000


Record 20
First-principles (PBE) data for a relaxed structure of La2HoSe4, as listed in Alexandria via LeMat-Bulk.

Summary:
N(E_F): 0.320 states/eV per atom
formation energy from raw total energies: -13.21 eV per formula unit

abc: 7.4139 7.4139 14.1963
angles: 90.00 90.00 148.31
Fractional positions:
La1 0.1302 0.8698 0.5738
La2 0.1302 0.8698 0.9262
La3 0.8698 0.1302 0.0738
La4 0.8698 0.1302 0.4262
Ho1 0.3715 0.6285 0.7500
Ho2 0.6285 0.3715 0.2500
Se1 0.0153 0.9847 0.7500
Se2 0.2182 0.7818 0.1269
Se3 0.2182 0.7818 0.3731
Se4 0.5000 0.5000 0.0000
Se5 0.5000 0.5000 0.5000
Se6 0.7818 0.2182 0.6269
Se7 0.7818 0.2182 0.8731
Se8 0.9847 0.0153 0.2500


| no. | raw total energy (eV per formula unit) |
| --- | --- |
| 1 | -8.85 |
| 2 | -11.55 |
| 3 | -16.48 |
| 4 | -35.01 |
| 5 | -21.65 |
| 6 | -28.80 |
| 7 | -108.01 |
| 8 | -22.80 |
| 9 | -4.51 |
| 10 | -161.25 |
| 11 | -15.09 |
| 12 | -78.44 |
| 13 | -53.26 |
| 14 | -19.16 |
| 15 | -25.58 |
| 16 | -33.48 |
| 17 | -24.63 |
| 18 | -48.61 |
| 19 | -9.77 |
| 20 | -41.58 |